# Dy4TlS3 PBE-GGA relaxed
data_Dy4TlS3
_chemical_formula_sum 'Dy8 Tl2 S6'
_space_group_name_H-M_alt 'C m m m'
_space_group_IT_number 65
_space_group_name_Hall '-C 2 2'
_cell_length_a 8.238
_cell_length_b 11.457
_cell_length_c 3.944
_cell_angle_alpha 90.00
_cell_angle_beta 90.00
_cell_angle_gamma 90.00
loop_
_atom_site_label
_atom_site_fract_x
_atom_site_fract_y
_atom_site_fract_z
Dy1 0.000 0.242 0.000
Dy2 0.229 0.000 0.500
Tl1 0.000 0.500 0.000
S1 0.000 0.000 0.000
S2 0.250 0.250 0.500
# ρ   8.5 g/cm3
# M_tot   0.000 μB/f.u.
# E_form (uncorrected)   -1.504 eV per atom